# 1
The following is a DFT calculation (GGA-PBE) of AcLa4Nd2Ho after structural relaxation.

Calculated values
- Space group: C2/m (12)
- Calculated formation energy: 26 meV/atom
- V: 36.7 Å³/atom

Lattice parameters (Å, degrees): 5.2748 6.4462 9.8933 89.61 74.54 65.85
Fractional positions:
Nd1 0.7424 0.7591 0.7561
La1 0.6269 0.6248 0.1214
Ac1 0.5000 0.5000 0.5000
La2 0.1222 0.1243 0.6313
La3 0.3731 0.3752 0.8786
La4 0.8778 0.8757 0.3687
Ho1 0.0000 0.0000 0.0000
Nd2 0.2576 0.2409 0.2439


# 2
The following is a DFT calculation (GGA-PBE) of AcLa3NdHo after structural relaxation.

Calculated values
- Space group: C2/m (12)
- Calculated formation energy: 167 meV/atom
- V: 37.5 Å³/atom

Lattice parameters (Å, degrees): 5.9889 10.9899 7.1134 91.35 90.00 105.81
Fractional positions:
Ac1 0.3512 0.7024 0.9670
La1 0.2186 0.4373 0.2830
Nd1 0.9429 0.8858 0.7183
La2 0.4851 0.9703 0.2522
La3 0.1589 0.3178 0.7478
La4 0.5149 0.0297 0.7478
La5 0.7814 0.5627 0.7170
La6 0.8411 0.6822 0.2522
Ho1 0.3594 0.7187 0.5070
Nd2 0.0571 0.1142 0.2817
Ac2 0.6488 0.2976 0.0330
Ho2 0.6406 0.2813 0.4930


What is the formula in the second record?
AcLa3NdHo


What is the formula in the first record?
AcLa4Nd2Ho


Look up the V of the first one.
36.7 Å³/atom